EuTm2Mg | Alexandria via LeMat-Bulk | PBE | optimized geometry; space group = R-3m; ΔH_f (0 K) = 0.211 eV/atom; crystal system = trigonal; calculated density = 6.80 g cm⁻³; energy = -4.992 eV per atom
1.0
-2.742 1.318 -1.640
-2.666 -2.040 -0.824
-6.999 2.236 9.858
Eu Mg Tm
1 1 2
direct
0.000 0.000 0.000
0.500 0.500 0.500
0.094 0.094 0.717
0.906 0.906 0.283



TlTeAu2 | Alexandria via LeMat-Bulk | PBE | optimized geometry; space group = Cm; crystal system = monoclinic; energy relative to the elements, uncorrected = 47 meV per atom; calculated density = 10.85 g cm⁻³; energy = -2.968 eV per atom
1.0
-2.108 5.580 -3.185
-5.052 3.353 -2.994
-3.746 5.109 1.828
Au Te Tl
2 1 1
direct
0.032 0.032 0.084
0.733 0.733 0.686
0.450 0.450 0.508
0.284 0.284 0.222



CsPaPS6 | Alexandria via LeMat-Bulk | PBE | optimized geometry; space group = C2; crystal system = monoclinic; energy relative to the elements, uncorrected = -623 meV per atom; calculated density = 3.39 g cm⁻³; energy = -5.126 eV per atom
1.0
6.424 0.003 0.001
3.215 5.560 0.000
0.001 -0.002 8.046
Cs Pa P S
1 1 1 6
direct
0.000 0.000 0.000
0.667 0.666 0.500
0.333 0.333 0.500
0.047 0.344 0.332
0.344 0.047 0.668
0.609 0.344 0.668
0.047 0.610 0.668
0.344 0.610 0.332
0.610 0.047 0.332



Sn2Pd2Au | Alexandria via LeMat-Bulk | PBE | optimized geometry; space group = I4/mmm; ΔH_f (0 K) = -0.171 eV/atom; crystal system = tetragonal; calculated density = 10.32 g cm⁻³; energy = -4.505 eV per atom
1.0
-3.225 0.253 2.230
-1.908 -2.365 -2.491
-0.537 -6.426 3.413
Au Sn Pd
1 2 2
direct
0.000 0.000 0.000
0.391 0.391 0.218
0.609 0.609 0.782
0.750 0.250 0.500
0.250 0.750 0.500



Nd2AgPd9 | Alexandria via LeMat-Bulk | PBE | optimized geometry; space group = P4/mmm; ΔH_f (0 K) = -0.492 eV/atom; crystal system = tetragonal; calculated density = 10.56 g cm⁻³; energy = -5.419 eV per atom
1.0
-2.825 -1.591 -2.620
2.986 -0.626 -2.840
2.031 -11.180 4.600
Nd Ag Pd
2 1 9
direct
0.000 0.000 0.326
0.000 0.000 0.674
0.000 0.000 0.000
0.500 0.500 0.000
0.500 0.500 0.329
0.500 0.500 0.671
0.500 0.000 0.156
0.500 0.000 0.500
0.500 0.000 0.844
0.000 0.500 0.156
0.000 0.500 0.500
0.000 0.500 0.844



DyAlSi2 | Alexandria via LeMat-Bulk | PBE | optimized geometry; space group = Pnma; crystal system = orthorhombic; energy relative to the elements, uncorrected = -361 meV per atom; calculated density = 5.43 g cm⁻³; energy = -5.159 eV per atom
1.0
-0.553 -4.117 -0.117
11.121 -1.480 -0.486
0.504 -0.432 12.860
Dy Al Si
8 8 16
direct
0.750 0.465 0.700
0.250 0.965 0.800
0.250 0.535 0.300
0.750 0.035 0.200
0.750 0.228 0.949
0.250 0.728 0.551
0.250 0.772 0.051
0.750 0.272 0.449
0.750 0.553 0.935
0.250 0.053 0.565
0.250 0.447 0.065
0.750 0.947 0.435
0.750 0.344 0.190
0.250 0.844 0.310
0.250 0.656 0.810
0.750 0.156 0.690
0.750 0.964 0.972
0.250 0.464 0.528
0.250 0.036 0.028
0.750 0.536 0.472
0.750 0.779 0.890
0.250 0.279 0.610
0.250 0.221 0.110
0.750 0.721 0.390
0.750 0.731 0.711
0.250 0.231 0.789
0.250 0.269 0.289
0.750 0.769 0.211
0.750 0.928 0.630
0.250 0.428 0.870
0.250 0.072 0.370
0.750 0.572 0.130



Ho5Se5N2 | Alexandria via LeMat-Bulk | PBE | optimized geometry; space group = C2/m; crystal system = monoclinic; energy relative to the elements, uncorrected = -1667 meV per atom; calculated density = 7.94 g cm⁻³; energy = -6.413 eV per atom
1.0
3.839 0.000 0.000
-1.920 6.496 0.113
0.000 -2.924 10.415
Ho Se N
5 5 2
direct
0.094 0.187 0.364
0.646 0.293 0.798
0.354 0.707 0.202
0.906 0.813 0.636
0.000 0.000 0.000
0.500 0.000 0.500
0.664 0.328 0.071
0.754 0.509 0.367
0.246 0.491 0.633
0.336 0.672 0.929
0.045 0.090 0.800
0.955 0.910 0.200



LaPrRh4 | Alexandria via LeMat-Bulk | PBE | optimized geometry; space group = F-43m; ΔH_f (0 K) = -0.662 eV/atom; crystal system = cubic; calculated density = 10.07 g cm⁻³; energy = -7.180 eV per atom
1.0
5.443 0.000 0.000
2.722 4.714 0.000
2.722 1.571 4.444
Pr Rh La
1 4 1
direct
0.250 0.250 0.250
0.625 0.625 0.125
0.625 0.125 0.625
0.625 0.625 0.625
0.125 0.625 0.625
0.000 0.000 0.000



Tl2CuP | Alexandria via LeMat-Bulk | PBE | optimized geometry; space group = Immm; ΔH_f (0 K) = 0.462 eV/atom; crystal system = orthorhombic; calculated density = 9.37 g cm⁻³; energy = -3.097 eV per atom
1.0
5.123 -0.065 -0.103
0.494 5.100 0.103
-2.305 -3.080 3.386
Cu P Tl
1 1 2
direct
0.750 0.250 0.500
0.250 0.750 0.500
0.990 0.990 0.000
0.510 0.510 0.000



Mg3PaPb4 | Alexandria via LeMat-Bulk | PBE | optimized geometry; space group = Pmmm; ΔH_f (0 K) = -0.006 eV/atom; crystal system = orthorhombic; calculated density = 8.93 g cm⁻³; energy = -3.645 eV per atom
1.0
-1.247 3.083 -1.090
-2.996 -2.597 -3.916
-8.253 -0.895 6.908
Pb Mg Pa
4 3 1
direct
0.000 0.000 0.500
0.000 0.500 0.737
0.000 0.000 0.000
0.000 0.500 0.263
0.500 0.000 0.248
0.500 0.500 0.500
0.500 0.000 0.752
0.500 0.500 0.000